[1]
## DyYAgAu (GGA-PBE)

Data for an optimized crystal structure of DyYAgAu.

Cell: 3.610 3.610 7.279 Å, 90.00 90.00 90.00°
Atoms (fractional coordinates):
Dy: 0.000 0.000 0.000
Y: 0.000 0.000 0.490
Ag: 0.500 0.500 0.748
Au: 0.500 0.500 0.241

Output
DOS(E_F) in states/eV/cell: 2.6
Formation energy in eV per formula unit: -2.4


[2]
## DyYAgAu (GGA-PBE)

Data for an optimized crystal structure of DyYAgAu.

Cell: 5.117 5.117 5.117 Å, 60.00 60.00 60.00°
Atoms (fractional coordinates):
Dy: 0.000 0.000 0.000
Y: 0.500 0.500 0.500
Ag: 0.750 0.750 0.750
Au: 0.250 0.250 0.250

Output
DOS(E_F) in states/eV/cell: 2.8
Formation energy in eV per formula unit: -2.4


[3]
## DyZrAgAu (GGA-PBE)

Data for an optimized crystal structure of DyZrAgAu.

Cell: 4.988 4.988 4.988 Å, 60.00 60.00 60.00°
Atoms (fractional coordinates):
Dy: 0.000 0.000 0.000
Zr: 0.500 0.500 0.500
Ag: 0.750 0.750 0.750
Au: 0.250 0.250 0.250

Output
DOS(E_F) in states/eV/cell: 4.5
Formation energy in eV per formula unit: -1.4


[4]
## ErAgAu4 (GGA-PBE)

Data for an optimized crystal structure of ErAgAu4.

Cell: 5.525 5.525 5.525 Å, 60.00 60.00 60.00°
Atoms (fractional coordinates):
Er: 0.000 0.000 0.000
Ag: 0.750 0.750 0.750
Au: 0.375 0.375 0.375
Au: 0.375 0.375 0.874
Au: 0.375 0.874 0.375
Au: 0.874 0.375 0.375

Output
DOS(E_F) in states/eV/cell: 5.8
Formation energy in eV per formula unit: -2.2


[5]
## Er5Ag4Au (GGA-PBE)

Data for an optimized crystal structure of Er5Ag4Au.

Cell: 3.566 3.566 18.260 Å, 90.00 90.00 90.00°
Atoms (fractional coordinates):
Er: 0.000 0.000 0.000
Er: 0.000 0.000 0.201
Er: 0.000 0.000 0.403
Er: 0.000 0.000 0.597
Er: 0.000 0.000 0.799
Ag: 0.500 0.500 0.100
Ag: 0.500 0.500 0.300
Ag: 0.500 0.500 0.700
Ag: 0.500 0.500 0.900
Au: 0.500 0.500 0.500

Output
DOS(E_F) in states/eV/cell: 4.3
Formation energy in eV per formula unit: -4.5


[6]
## Er12AgAu6 (GGA-PBE)

Data for an optimized crystal structure of Er12AgAu6.

Cell: 8.399 8.399 8.399 Å, 100.31 100.31 100.31°
Atoms (fractional coordinates):
Er: 0.064 0.674 0.934
Er: 0.066 0.936 0.326
Er: 0.178 0.427 0.577
Er: 0.326 0.066 0.936
Er: 0.423 0.822 0.573
Er: 0.427 0.577 0.178
Er: 0.573 0.423 0.822
Er: 0.577 0.178 0.427
Er: 0.674 0.934 0.064
Er: 0.822 0.573 0.423
Er: 0.934 0.064 0.674
Er: 0.936 0.326 0.066
Ag: 0.000 0.000 0.000
Au: 0.137 0.614 0.304
Au: 0.304 0.137 0.614
Au: 0.386 0.696 0.863
Au: 0.614 0.304 0.137
Au: 0.696 0.863 0.386
Au: 0.863 0.386 0.696

Output
DOS(E_F) in states/eV/cell: 21.1
Formation energy in eV per formula unit: -7.6


[7]
## ErAg2Au (GGA-PBE)

Data for an optimized crystal structure of ErAg2Au.

Cell: 4.840 4.840 4.840 Å, 60.00 60.00 60.00°
Atoms (fractional coordinates):
Er: 0.000 0.000 0.000
Ag: 0.250 0.250 0.250
Ag: 0.750 0.750 0.750
Au: 0.500 0.500 0.500

Output
DOS(E_F) in states/eV/cell: 2.4
Formation energy in eV per formula unit: -1.3


[8]
## Er2Ag3Au (GGA-PBE)

Data for an optimized crystal structure of Er2Ag3Au.

Cell: 3.405 4.722 8.179 Å, 90.00 90.00 90.00°
Atoms (fractional coordinates):
Er: 0.000 0.000 0.000
Er: 0.000 0.500 0.477
Ag: 0.500 0.000 0.659
Ag: 0.500 0.500 0.150
Ag: 0.500 0.500 0.819
Au: 0.500 0.000 0.323

Output
DOS(E_F) in states/eV/cell: 4.3
Formation energy in eV per formula unit: -2.3


[9]
## Er11Ag9Au4 (GGA-PBE)

Data for an optimized crystal structure of Er11Ag9Au4.

Cell: 12.928 12.928 3.605 Å, 90.00 90.00 113.05°
Atoms (fractional coordinates):
Er: 0.000 0.000 0.000
Er: 0.071 0.413 0.000
Er: 0.168 0.832 0.000
Er: 0.273 0.273 0.000
Er: 0.354 0.646 0.000
Er: 0.413 0.071 0.000
Er: 0.587 0.929 0.000
Er: 0.646 0.354 0.000
Er: 0.727 0.727 0.000
Er: 0.832 0.168 0.000
Er: 0.929 0.587 0.000
Ag: 0.051 0.207 0.500
Ag: 0.146 0.631 0.500
Ag: 0.207 0.051 0.500
Ag: 0.369 0.854 0.500
Ag: 0.500 0.500 0.500
Ag: 0.631 0.146 0.500
Ag: 0.793 0.949 0.500
Ag: 0.854 0.369 0.500
Ag: 0.949 0.793 0.500
Au: 0.257 0.449 0.500
Au: 0.449 0.257 0.500
Au: 0.551 0.743 0.500
Au: 0.743 0.551 0.500

Output
DOS(E_F) in states/eV/cell: 13.9
Formation energy in eV per formula unit: -11.7


[10]
## ErAg5Au8 (GGA-PBE)

Data for an optimized crystal structure of ErAg5Au8.

Cell: 7.134 7.134 7.134 Å, 111.06 111.06 106.33°
Atoms (fractional coordinates):
Er: 0.000 0.000 0.000
Ag: 0.041 0.462 0.838
Ag: 0.250 0.750 0.500
Ag: 0.538 0.376 0.579
Ag: 0.624 0.204 0.162
Ag: 0.796 0.959 0.421
Au: 0.099 0.329 0.448
Au: 0.261 0.165 0.774
Au: 0.349 0.901 0.230
Au: 0.391 0.487 0.226
Au: 0.513 0.739 0.904
Au: 0.671 0.119 0.770
Au: 0.835 0.609 0.096
Au: 0.881 0.651 0.552

Output
DOS(E_F) in states/eV/cell: 3.6
Formation energy in eV per formula unit: -1.2


[11]
## Er3Ag2Au3 (GGA-PBE)

Data for an optimized crystal structure of Er3Ag2Au3.

Cell: 7.369 7.369 3.790 Å, 90.00 90.00 120.00°
Atoms (fractional coordinates):
Er: 0.000 0.364 0.000
Er: 0.364 0.000 0.000
Er: 0.636 0.636 0.000
Ag: 0.333 0.667 0.500
Ag: 0.667 0.333 0.500
Au: 0.000 0.757 0.500
Au: 0.243 0.243 0.500
Au: 0.757 0.000 0.500

Output
DOS(E_F) in states/eV/cell: 4.3
Formation energy in eV per formula unit: -4.6


[12]
## Er3Ag2Au (GGA-PBE)

Data for an optimized crystal structure of Er3Ag2Au.

Cell: 5.073 5.073 6.233 Å, 90.00 90.00 120.00°
Atoms (fractional coordinates):
Er: 0.000 0.000 0.000
Er: 0.333 0.667 0.659
Er: 0.667 0.333 0.341
Ag: 0.333 0.667 0.152
Ag: 0.667 0.333 0.848
Au: 0.000 0.000 0.500

Output
DOS(E_F) in states/eV/cell: 2.3
Formation energy in eV per formula unit: -3.2